1.
## SnSe2S2 (PBE)

Data for a geometry-optimized SnSe2S2 structure.

The space group is C2/m (No. 12) and the conventional cell measures 6.831, 3.841 and 11.048 Å, with angles of 90.00, 90.75 and 90.00 degrees. Symmetry generates all atoms from Sn at (0.000, 0.000, 0.000), Se at (0.171, 0.500, 0.144) and S at (0.121, 0.500, 0.544).

For the size of the total moment, the calculation gives 0.0 Bohr magnetons per cell. The calculation puts the density of states at the Fermi level at 0.262 states/eV/atom.



2.
## SnSeS2 (PBE)

Data for a geometry-optimized SnSeS2 structure.

The space group is P1 (No. 1) and the conventional cell measures 3.942, 5.278 and 5.688 Å, with angles of 71.30, 88.79 and 87.55 degrees. Symmetry generates all atoms from Sn at (0.000, 0.000, 0.000), Se at (0.505, 0.024, 0.620), S at (0.507, 0.379, 0.003) and S at (0.548, 0.443, 0.341).

For the size of the total moment, the calculation gives 0.0 Bohr magnetons per cell. For the energy above the most stable polymorph in this dataset, the calculation gives 78 meV/atom. The calculation puts the density of states at the Fermi level at 0.011 states/eV/atom.



3.
## SnSeS2 (PBE)

Data for a geometry-optimized SnSeS2 structure.

The space group is R-3m (No. 166, hexagonal axes) and the conventional cell measures 3.9215, 3.9215 and 23.4549 Å, with angles of 90.00, 90.00 and 120.00 degrees. Symmetry generates all atoms from Sn at (0.0000, 0.0000, 0.0000), Se at (0.0000, 0.0000, 0.5000) and S at (0.0000, 0.0000, 0.3978).

For the size of the total moment, the calculation gives 0.0 Bohr magnetons per cell. For the energy above the most stable polymorph in this dataset, the calculation gives 137 meV/atom. The calculation puts the density of states at the Fermi level at 0.884 states/eV/atom.



Number 1: formation energy from raw total energies -0.073 eV per atom. Number 2: formation energy from raw total energies -0.064 eV per atom. Number 3: formation energy from raw total energies -0.006 eV per atom.